Below is a relaxed structure of Cs2CdAuO, with properties calculated at the PBE level.

a = 4.9948 Å, b = 7.5691 Å, c = 9.2174 Å
α = 105.90°, β = 90.00°, γ = 90.00°
Sites, in units of the cell vectors:
Cs (0.7500, 0.9021, 0.6450)
Cs (0.7500, 0.7818, 0.0266)
Cs (0.2500, 0.0979, 0.3550)
Cs (0.2500, 0.2182, 0.9734)
Cd (0.2500, 0.5545, 0.6907)
Cd (0.7500, 0.4455, 0.3093)
Au (0.2500, 0.6046, 0.3510)
Au (0.7500, 0.3954, 0.6490)
O (0.2500, 0.8369, 0.8162)
O (0.7500, 0.1631, 0.1838)

Results
- space-group type = No. 11
- uncorrected energy (eV per cell) = -28.42
- polymorph energy (0 for the lowest one) (eV/atom) = 0.0000
- DOS at the Fermi energy (states/eV/f.u.) = 0.49
- energy relative to the elements, uncorrected (meV per atom) = -671

***

Below is a relaxed structure of Cs2CdAuO4, with properties calculated at the PBE level.

a = 6.3121 Å, b = 7.9077 Å, c = 11.2839 Å
α = 83.59°, β = 73.76°, γ = 66.48°
Each line ends with the local moment (μB).
Sites, in units of the cell vectors:
Cs (0.1748, 0.0000, 0.6504)  0.00
Cs (0.8252, 0.0000, 0.3496)  0.00
Cs (0.5752, 0.5000, 0.8496)  0.00
Cs (0.9248, 0.5000, 0.1504)  0.00
Cd (0.7500, 0.5000, 0.5000)  0.05
Cd (0.0000, 0.0000, 0.0000)  0.05
Au (0.2500, 0.5000, 0.5000)  0.09
Au (0.5000, 0.0000, 0.0000)  0.09
O (0.3611, 0.8104, 0.0019)  0.19
O (0.1734, 0.1896, 0.9981)  0.19
O (0.8285, 0.8104, 0.9981)  0.19
O (0.6370, 0.1896, 0.0019)  0.19
O (0.3889, 0.6896, 0.4981)  0.19
O (0.5766, 0.3104, 0.5019)  0.19
O (0.9215, 0.6896, 0.5019)  0.19
O (0.1130, 0.3104, 0.4981)  0.19

Results
- space-group type = No. 70
- uncorrected energy (eV per cell) = -63.28
- DOS at the Fermi energy (states/eV/f.u.) = 6.45
- energy relative to the elements, uncorrected (meV per atom) = -738

***

Below is a relaxed structure of Cs2CdPAu, with properties calculated at the PBE level.

a = 7.0832 Å, b = 7.0832 Å, c = 4.5786 Å
α = 90.00°, β = 90.00°, γ = 90.00°
Sites, in units of the cell vectors:
Cs (0.0000, 0.5000, 0.0000)
Cs (0.5000, 0.0000, 0.0000)
P (0.0000, 0.0000, 0.0000)
Au (0.0000, 0.0000, 0.5000)
Cd (0.5000, 0.5000, 0.5000)

Results
- space-group type = No. 123
- uncorrected energy (eV per cell) = -11.97
- energy of formation (kJ/mol of formula units) = -64
- polymorph energy (0 for the lowest one) (eV/atom) = 0.0000
- DOS at the Fermi energy (states/eV/f.u.) = 2.63

***

Below is a relaxed structure of CsCdPbAu, with properties calculated at the PBE level.

a = 4.5175 Å, b = 4.5175 Å, c = 15.0572 Å
α = 90.00°, β = 90.00°, γ = 90.00°
Sites, in units of the cell vectors:
Cs (0.7500, 0.7500, 0.2467)
Cs (0.2500, 0.2500, 0.7533)
Cd (0.7500, 0.2500, 0.0000)
Cd (0.2500, 0.7500, 0.0000)
Pb (0.2500, 0.7500, 0.5000)
Pb (0.7500, 0.2500, 0.5000)
Au (0.7500, 0.7500, 0.8798)
Au (0.2500, 0.2500, 0.1202)

Results
- space-group type = No. 129
- uncorrected energy (eV per cell) = -18.16
- energy of formation (kJ/mol of formula units) = -32
- DOS at the Fermi energy (states/eV/f.u.) = 2.09

***

Below is a relaxed structure of CsCd2PbAu4, with properties calculated at the PBE level.

a = 4.7898 Å, b = 4.7898 Å, c = 11.6377 Å
α = 78.12°, β = 78.12°, γ = 60.00°
Sites, in units of the cell vectors:
Cs (0.0000, 0.0000, 0.0000)
Cd (0.7587, 0.7587, 0.7240)
Cd (0.2413, 0.2413, 0.2760)
Pb (0.5000, 0.5000, 0.5000)
Au (0.4113, 0.4113, 0.7660)
Au (0.8844, 0.8844, 0.3468)
Au (0.1156, 0.1156, 0.6532)
Au (0.5887, 0.5887, 0.2340)

Results
- space-group type = No. 166
- uncorrected energy (eV per cell) = -20.46
- energy of formation (kJ/mol of formula units) = -92
- DOS at the Fermi energy (states/eV/f.u.) = 3.30

***

Below is a relaxed structure of CsCd2PbAu, with properties calculated at the PBE level.

a = 5.4931 Å, b = 5.4931 Å, c = 5.7308 Å
α = 90.00°, β = 90.00°, γ = 90.00°
Sites, in units of the cell vectors:
Pb (0.0000, 0.0000, 0.5000)
Cs (0.5000, 0.5000, 0.5000)
Au (0.0000, 0.0000, 0.0000)
Cd (0.0000, 0.5000, 0.0000)
Cd (0.5000, 0.0000, 0.0000)

Results
- space-group type = No. 123
- uncorrected energy (eV per cell) = -9.67
- energy of formation (kJ/mol of formula units) = 0
- DOS at the Fermi energy (states/eV/f.u.) = 3.45

***

Below is a relaxed structure of CsCd2PdAu, with properties calculated at the PBE level.

a = 5.3249 Å, b = 5.3249 Å, c = 5.4464 Å
α = 90.00°, β = 90.00°, γ = 90.00°
Sites, in units of the cell vectors:
Cs (0.5000, 0.5000, 0.5000)
Au (0.0000, 0.0000, 0.5000)
Pd (0.0000, 0.0000, 0.0000)
Cd (0.0000, 0.5000, 0.0000)
Cd (0.5000, 0.0000, 0.0000)

Results
- space-group type = No. 123
- uncorrected energy (eV per cell) = -11.92
- energy of formation (kJ/mol of formula units) = -74
- DOS at the Fermi energy (states/eV/f.u.) = 1.33

***

Below is a relaxed structure of Cs2CdPtAu, with properties calculated at the PBE level.

a = 6.5909 Å, b = 6.5909 Å, c = 5.2215 Å
α = 90.00°, β = 90.00°, γ = 90.00°
Sites, in units of the cell vectors:
Cs (0.0000, 0.5000, 0.0000)
Cs (0.5000, 0.0000, 0.0000)
Au (0.5000, 0.5000, 0.5000)
Pt (0.0000, 0.0000, 0.0000)
Cd (0.0000, 0.0000, 0.5000)

Results
- space-group type = No. 123
- uncorrected energy (eV per cell) = -12.26
- energy of formation (kJ/mol of formula units) = -31
- DOS at the Fermi energy (states/eV/f.u.) = 2.45

***

Below is a relaxed structure of Cs2RbCdAu2, with properties calculated at the PBE level.

a = 5.4262 Å, b = 8.8882 Å, c = 9.9432 Å
α = 90.00°, β = 90.00°, γ = 90.00°
Sites, in units of the cell vectors:
Cs (0.5000, 0.0008, 0.1248)
Cs (0.0000, 0.3586, 0.1622)
Cs (0.5000, 0.5008, 0.8752)
Cs (0.0000, 0.8586, 0.8378)
Rb (0.0000, 0.0102, 0.4615)
Rb (0.0000, 0.5102, 0.5385)
Cd (0.5000, 0.1419, 0.6803)
Cd (0.5000, 0.6419, 0.3197)
Au (0.0000, 0.2368, 0.7905)
Au (0.5000, 0.2974, 0.4017)
Au (0.0000, 0.7368, 0.2095)
Au (0.5000, 0.7974, 0.5983)

Results
- space-group type = No. 26
- uncorrected energy (eV per cell) = -22.65
- energy of formation (kJ/mol of formula units) = -114
- DOS at the Fermi energy (states/eV/f.u.) = 4.14

***

Below is a relaxed structure of CsRb2CdAu, with properties calculated at the PBE level.

a = 6.6924 Å, b = 6.6924 Å, c = 6.9058 Å
α = 90.00°, β = 90.00°, γ = 90.00°
Sites, in units of the cell vectors:
Cs (0.0000, 0.0000, 0.5000)
Au (0.0000, 0.0000, 0.0000)
Rb (0.0000, 0.5000, 0.0000)
Rb (0.5000, 0.0000, 0.0000)
Cd (0.5000, 0.5000, 0.5000)

Results
- space-group type = No. 123
- uncorrected energy (eV per cell) = -7.18
- energy of formation (kJ/mol of formula units) = -19
- polymorph energy (0 for the lowest one) (eV/atom) = 0.0474
- DOS at the Fermi energy (states/eV/f.u.) = 5.99

***

Below is a relaxed structure of CsRb2Cd2Au2, with properties calculated at the PBE level.

a = 4.9249 Å, b = 4.9249 Å, c = 14.7328 Å
α = 80.38°, β = 80.38°, γ = 60.00°
Sites, in units of the cell vectors:
Cs (0.0000, 0.0000, 0.0000)
Rb (0.1179, 0.1179, 0.6463)
Rb (0.8821, 0.8821, 0.3537)
Cd (0.7302, 0.7302, 0.8094)
Cd (0.2698, 0.2698, 0.1906)
Au (0.6028, 0.6028, 0.1915)
Au (0.3972, 0.3972, 0.8085)

Results
- space-group type = No. 166
- uncorrected energy (eV per cell) = -12.66
- energy of formation (kJ/mol of formula units) = -143
- DOS at the Fermi energy (states/eV/f.u.) = 3.31

***

Below is a relaxed structure of CsRbCdAu, with properties calculated at the PBE level.

a = 6.2709 Å, b = 6.2709 Å, c = 6.2709 Å
α = 60.00°, β = 60.00°, γ = 60.00°
Sites, in units of the cell vectors:
Cs (0.5000, 0.5000, 0.5000)
Au (0.2500, 0.2500, 0.2500)
Rb (0.0000, 0.0000, 0.0000)
Cd (0.7500, 0.7500, 0.7500)

Results
- space-group type = No. 216
- uncorrected energy (eV per cell) = -6.38
- energy of formation (kJ/mol of formula units) = -35
- polymorph energy (0 for the lowest one) (eV/atom) = 0.1136
- DOS at the Fermi energy (states/eV/f.u.) = 2.57

***

Among the records above, which one has the highest uncorrected energy?
CsRbCdAu

***

Which of these has the lowest DOS at the Fermi energy?
Cs2CdAuO